# 1
Compound: CdFe2TcN
Source: Alexandria
Functional: GGA-PBE
Structure: optimized geometry

The value obtained for the formation energy (no corrections) is 0.31 eV per formula unit. For the density of states at the Fermi level, the calculation gives 3.86 states/eV/f.u.

The space group is P4/mmm (No. 123) and the conventional cell measures 3.9588, 3.9588 and 4.0361 Å, with angles of 90.00, 90.00 and 90.00 degrees. Symmetry generates all atoms from Cd at (0.0000, 0.0000, 0.0000), Fe at (0.0000, 0.5000, 0.5000), Tc at (0.5000, 0.5000, 0.0000) and N at (0.5000, 0.5000, 0.5000).

***

# 2
Compound: CuBO2F
Source: Alexandria
Functional: GGA-PBE
Structure: optimized geometry

The value obtained for the formation energy (no corrections) is 2.74 eV per formula unit. For the density of states at the Fermi level, the calculation gives 2.67 states/eV/f.u.

The space group is P4/mmm (No. 123) and the conventional cell measures 3.7663, 3.7663 and 3.8477 Å, with angles of 90.00, 90.00 and 90.00 degrees. Symmetry generates all atoms from Cu at (0.0000, 0.0000, 0.0000), B at (0.5000, 0.5000, 0.5000), O at (0.0000, 0.5000, 0.0000) and F at (0.0000, 0.0000, 0.5000).